# H6AuO2F2 | Alexandria via LeMat-Bulk | GGA-PBE | optimized geometry
data_H6AuO2F2
_chemical_formula_sum 'H6 Au1 O2 F2'
_space_group_name_H-M_alt 'P -1'
_space_group_IT_number 2
_cell_length_a 3.808
_cell_length_b 5.490
_cell_length_c 6.417
_cell_angle_alpha 71.14
_cell_angle_beta 72.84
_cell_angle_gamma 89.99
loop_
_space_group_symop_operation_xyz
'x,y,z'
'-x,-y,-z'
loop_
_atom_site_label
_atom_site_type_symbol
_atom_site_fract_x
_atom_site_fract_y
_atom_site_fract_z
H1 H 0.020 0.302 0.398
H2 H 0.159 0.426 0.683
H3 H 0.417 0.698 0.602
Au1 Au 0.500 0.000 0.000
O1 O 0.150 0.602 0.700
F1 F 0.227 0.211 0.547
# **Electronic total energy**: -47.28 eV per formula unit
# **Total moment**: 0.0 μB/cell